Material: CuSi3Os
Method: DFT, PBE-GGA
State: relaxed

Output
Calculated volume (A^3/atom): 20.01
Fermi-level density of states (states/eV per cell): 5.79
Final energy (eV per atom): -5.639
Formation energy from raw total energies (eV per formula unit): 3.4
Space group: Pm-3m
ΔE to the lowest computed polymorph (eV per atom): 0.000

POSCAR file:
```
CuSi3Os
1.0
4.643 0.000 0.000
0.000 4.643 0.000
0.000 0.000 4.643
Os Si Cu
1 3 1
Cartesian
0.000 0.000 0.000 Os
0.000 2.321 0.000 Si
0.000 0.000 2.321 Si
2.321 0.000 0.000 Si
2.321 2.321 2.321 Cu
```